No. 1
First-principles (PBE) data for a relaxed PrTh2NbN4 crystal, as listed in the Alexandria database.

Computed properties:
- total magnetic moment (μB per atom) = 0.000
- space-group type = Cmcm
- formation energy without anion corrections (meV/atom) = -1131

abc: 3.5779 6.4125 12.1899
angles: 90.00 90.00 106.20
Atoms (fractional coordinates):
Pr 0.1204 0.2407 0.7500
Pr 0.8796 0.7593 0.2500
Th 0.3678 0.7356 0.5421
Th 0.6322 0.2644 0.0421
Th 0.6322 0.2644 0.4579
Th 0.3678 0.7356 0.9579
Nb 0.8542 0.7085 0.7500
Nb 0.1458 0.2915 0.2500
N 0.2673 0.5347 0.1286
N 0.7327 0.4653 0.6286
N 0.7327 0.4653 0.8714
N 0.2673 0.5347 0.3714
N 0.0000 0.0000 0.5000
N 0.0000 0.0000 0.0000
N 0.4473 0.8947 0.7500
N 0.5527 0.1053 0.2500

No. 2
First-principles (PBE) data for a relaxed PrTm2NbN4 crystal, as listed in the Alexandria database.

Computed properties:
- total magnetic moment (μB per atom) = 0.000
- space-group type = Cmcm
- formation energy without anion corrections (meV/atom) = -1298

abc: 3.4027 6.1945 12.0086
angles: 90.00 90.00 105.94
Atoms (fractional coordinates):
Pr 0.0982 0.1963 0.7500
Pr 0.9018 0.8037 0.2500
Tm 0.3710 0.7419 0.5350
Tm 0.6290 0.2581 0.0350
Tm 0.6290 0.2581 0.4650
Tm 0.3710 0.7419 0.9650
Nb 0.8371 0.6743 0.7500
Nb 0.1629 0.3257 0.2500
N 0.2589 0.5177 0.1168
N 0.7411 0.4823 0.6168
N 0.7411 0.4823 0.8832
N 0.2589 0.5177 0.3832
N 0.0000 0.0000 0.5000
N 0.0000 0.0000 0.0000
N 0.4429 0.8858 0.7500
N 0.5571 0.1142 0.2500

No. 3
First-principles (PBE) data for a relaxed PrTmNbN3 crystal, as listed in the Alexandria database.

Computed properties:
- total magnetic moment (μB per atom) = 0.000
- space-group type = P2_1/m
- formation energy without anion corrections (meV/atom) = -1093

abc: 3.3575 6.6707 9.3684
angles: 96.25 90.00 90.00
Atoms (fractional coordinates):
Pr 0.7500 0.8048 0.7631
Pr 0.2500 0.1952 0.2369
Tm 0.2500 0.6562 0.1144
Tm 0.7500 0.3438 0.8856
Nb 0.2500 0.1372 0.5815
Nb 0.7500 0.8628 0.4185
N 0.2500 0.8062 0.5396
N 0.7500 0.8816 0.2033
N 0.7500 0.4047 0.1238
N 0.7500 0.1938 0.4604
N 0.2500 0.5953 0.8762
N 0.2500 0.1184 0.7967

No. 4
First-principles (PBE) data for a relaxed PrNb2VN4 crystal, as listed in the Alexandria database.

Computed properties:
- total magnetic moment (μB per atom) = 0.000
- space-group type = Cmcm
- formation energy without anion corrections (meV/atom) = -1033

abc: 3.2695 5.8001 10.8626
angles: 90.00 90.00 106.37
Atoms (fractional coordinates):
Pr 0.0992 0.1984 0.7500
Pr 0.9008 0.8016 0.2500
Nb 0.3740 0.7480 0.5400
Nb 0.6260 0.2520 0.0400
Nb 0.6260 0.2520 0.4600
Nb 0.3740 0.7480 0.9600
V 0.8374 0.6748 0.7500
V 0.1626 0.3252 0.2500
N 0.2663 0.5325 0.1145
N 0.7337 0.4675 0.6145
N 0.7337 0.4675 0.8855
N 0.2663 0.5325 0.3855
N 0.0000 0.0000 0.5000
N 0.0000 0.0000 0.0000
N 0.4311 0.8622 0.7500
N 0.5689 0.1378 0.2500

No. 5
First-principles (PBE) data for a relaxed PrY2NbN4 crystal, as listed in the Alexandria database.

Computed properties:
- total magnetic moment (μB per atom) = 0.000
- space-group type = Cmcm
- formation energy without anion corrections (meV/atom) = -1244

abc: 3.4379 6.2612 12.1617
angles: 90.00 90.00 105.93
Atoms (fractional coordinates):
Pr 0.0972 0.1944 0.7500
Pr 0.9028 0.8056 0.2500
Y 0.3707 0.7415 0.5354
Y 0.6293 0.2585 0.0354
Y 0.6293 0.2585 0.4646
Y 0.3707 0.7415 0.9646
Nb 0.8368 0.6736 0.7500
Nb 0.1632 0.3264 0.2500
N 0.2601 0.5202 0.1205
N 0.7399 0.4798 0.6205
N 0.7399 0.4798 0.8795
N 0.2601 0.5202 0.3795
N 0.0000 0.0000 0.5000
N 0.0000 0.0000 0.0000
N 0.4418 0.8835 0.7500
N 0.5582 0.1165 0.2500

No. 6
First-principles (PBE) data for a relaxed PrZrNbN3 crystal, as listed in the Alexandria database.

Computed properties:
- total magnetic moment (μB per atom) = 0.000
- space-group type = P2_1/m
- formation energy without anion corrections (meV/atom) = -1373

abc: 3.3415 5.7690 8.5735
angles: 102.91 90.00 90.00
Atoms (fractional coordinates):
Pr 0.7500 0.6465 0.6912
Pr 0.2500 0.3535 0.3088
Zr 0.2500 0.7668 0.0480
Zr 0.7500 0.2332 0.9520
Nb 0.2500 0.1234 0.6354
Nb 0.7500 0.8766 0.3646
N 0.2500 0.7586 0.4866
N 0.7500 0.0359 0.1534
N 0.7500 0.5642 0.1556
N 0.7500 0.2414 0.5134
N 0.2500 0.4358 0.8444
N 0.2500 0.9641 0.8466